1.
The following is a PBE calculation of crystalline LiLuFeMo at its relaxed geometry, from OQMD.

The structure in POSCAR format:
```
LiLuFeMo
1.0
0.000 3.126 3.126
3.126 0.000 3.126
3.126 3.126 0.000
Li Lu Fe Mo
1 1 1 1
Cartesian
0.000 0.000 0.000
1.563 1.563 1.563
4.689 4.689 4.689
3.126 3.126 3.126
```

Distance to the lowest polymorph of the same formula, eV/atom: 0.0994
VASP energy, eV per formula unit: -24.124


2.
The following is a PBE calculation of crystalline SrTcO3 at its relaxed geometry, from OQMD.

The structure in POSCAR format:
```
SrTcO3
1.0
2.767 1.598 5.319
-2.767 1.598 5.319
0.000 -3.195 5.319
Sr Tc O
2 2 6
Cartesian
0.000 0.000 2.123
0.000 0.000 13.835
0.000 0.000 5.411
0.000 0.000 10.548
-1.133 -1.350 6.469
-1.736 0.306 9.489
-0.603 1.657 6.469
0.603 -1.657 9.489
1.736 -0.306 6.469
1.133 1.350 9.489
```

VASP energy, eV per formula unit: -36.472


The lowest VASP energy belongs to which entry?
SrTcO3